(1)
Here is crystalline ErCu2Pd6 at its relaxed geometry from the Alexandria database. Energies are from PBE-GGA.

a b c (Å): 7.867 8.232 8.962
angles (deg): 90.00 90.00 90.00
Space group Immm (No. 71)
Asymmetric unit:
Er  0.000  0.000  0.000
Er  0.000  0.000  0.500
Cu  0.000  0.359  0.000
Cu  0.000  0.500  0.373
Pd  0.000  0.215  0.249
Pd  0.213  0.294  0.500
Pd  0.226  0.500  0.185

Computed properties:
E ... -5.184 eV per atom
DOS at the Fermi energy ... 17.98 states/eV per cell
ρ ... 10.68 Mg/m³

=====

(2)
Here is crystalline ErCuPd at its relaxed geometry from the Alexandria database. Energies are from PBE-GGA.

a b c (Å): 3.536 3.536 8.774
angles (deg): 90.00 90.00 90.00
Space group I4mm (No. 107)
Asymmetric unit:
Er  0.000  0.000  0.000
Cu  0.000  0.000  0.674
Pd  0.000  0.000  0.331

Computed properties:
E ... -5.169 eV per atom
DOS at the Fermi energy ... 4.37 states/eV per cell
ρ ... 10.21 Mg/m³
Energy above the lowest structure with this stoichiometry ... 0.0843 eV/atom

=====

(3)
Here is crystalline Er3Cu2Pd at its relaxed geometry from the Alexandria database. Energies are from PBE-GGA.

a b c (Å): 4.8818 4.8818 5.9866
angles (deg): 90.00 90.00 120.00
Space group P-3m1 (No. 164)
Asymmetric unit:
Er  0.0000  0.0000  0.0000
Er  0.3333  0.6667  0.6667
Cu  0.3333  0.6667  0.1582
Pd  0.0000  0.0000  0.5000

Computed properties:
E ... -5.007 eV per atom
DOS at the Fermi energy ... 3.72 states/eV per cell
ρ ... 9.88 Mg/m³
Energy above the lowest structure with this stoichiometry ... 0.0000 eV/atom

=====

(4)
Here is crystalline ErCuPd at its relaxed geometry from the Alexandria database. Energies are from PBE-GGA.

a b c (Å): 4.3430 4.3430 3.5011
angles (deg): 90.00 90.00 120.00
Space group P-6m2 (No. 187)
Asymmetric unit:
Er  0.0000  0.0000  0.0000
Cu  0.3333  0.6667  0.5000
Pd  0.6667  0.3333  0.5000

Computed properties:
E ... -5.199 eV per atom
DOS at the Fermi energy ... 1.45 states/eV per cell
ρ ... 9.79 Mg/m³
Energy above the lowest structure with this stoichiometry ... 0.0546 eV/atom

=====

(5)
Here is crystalline Er4Cu3Pd at its relaxed geometry from the Alexandria database. Energies are from PBE-GGA.

a b c (Å): 3.714 4.458 10.276
angles (deg): 90.00 90.00 90.00
Space group Pmm2 (No. 25)
Asymmetric unit:
Er  0.000  0.000  0.000
Er  0.000  0.500  0.279
Er  0.500  0.000  0.498
Er  0.500  0.500  0.778
Cu  0.000  0.500  0.560
Cu  0.500  0.000  0.212
Cu  0.500  0.500  0.067
Pd  0.000  0.000  0.718

Computed properties:
E ... -4.919 eV per atom
DOS at the Fermi energy ... 4.46 states/eV per cell
ρ ... 9.43 Mg/m³

=====

(6)
Here is crystalline ErCuPd at its relaxed geometry from the Alexandria database. Energies are from PBE-GGA.

a b c (Å): 4.278 9.595 5.432
angles (deg): 90.00 90.00 90.00
Space group Cmcm (No. 63)
Asymmetric unit:
Er  0.000  0.204  0.250
Cu  0.000  0.500  0.000
Pd  0.000  0.094  0.750

Computed properties:
E ... -5.242 eV per atom
DOS at the Fermi energy ... 5.53 states/eV per cell
ρ ... 10.05 Mg/m³
Energy above the lowest structure with this stoichiometry ... 0.0107 eV/atom

=====

(7)
Here is crystalline ErCu2Pd4 at its relaxed geometry from the Alexandria database. Energies are from PBE-GGA.

a b c (Å): 9.484 5.572 4.655
angles (deg): 90.00 105.00 90.00
Space group C2/m (No. 12)
Asymmetric unit:
Er  0.000  0.000  0.000
Cu  0.245  0.500  0.484
Pd  0.000  0.262  0.500
Pd  0.250  0.250  0.000

Computed properties:
E ... -5.128 eV per atom
DOS at the Fermi energy ... 5.65 states/eV per cell
ρ ... 10.07 Mg/m³

=====

(8)
Here is crystalline ErCuPd14 at its relaxed geometry from the Alexandria database. Energies are from PBE-GGA.

a b c (Å): 5.627 5.627 7.973
angles (deg): 90.00 90.00 90.00
Space group P4/mmm (No. 123)
Asymmetric unit:
Er  0.000  0.000  0.000
Cu  0.500  0.500  0.000
Pd  0.000  0.000  0.500
Pd  0.000  0.500  0.000
Pd  0.000  0.500  0.500
Pd  0.254  0.254  0.250
Pd  0.500  0.500  0.500

Computed properties:
E ... -5.299 eV per atom
DOS at the Fermi energy ... 29.03 states/eV per cell
ρ ... 11.32 Mg/m³

=====

Calculated E_form in order - -305; -552; -495; -581; -452; -625; -339; -214 meV per atom